# PBE RbPrPb2, relaxed
data_RbPrPb2
_chemical_formula_sum 'Rb1 Pr1 Pb2'
_space_group_name_H-M_alt 'P 4/m m m'
_space_group_IT_number 123
_space_group_name_Hall '-P 4 2'
_cell_length_a 4.3013
_cell_length_b 4.3013
_cell_length_c 8.2844
_cell_angle_alpha 90.00
_cell_angle_beta 90.00
_cell_angle_gamma 90.00
loop_
_atom_site_label
_atom_site_type_symbol
_atom_site_fract_x
_atom_site_fract_y
_atom_site_fract_z
_atom_site_occupancy
Rb1 Rb 0.0000 0.0000 0.0000 1
Pr1 Pr 0.0000 0.0000 0.5000 1
Pb1 Pb 0.5000 0.5000 0.3121 1
# V, Å³/cell: 153.3
# Formation enthalpy at 0 K, eV/atom: -0.318
# Final energy, eV/f.u.: -14.437
# Distance to the lowest polymorph of the same formula, eV/atom: 0.000

---

# PBE RbPrPb4, relaxed
data_RbPrPb4
_chemical_formula_sum 'Rb4 Pr4 Pb16'
_space_group_name_H-M_alt 'F -4 3 m'
_space_group_IT_number 216
_space_group_name_Hall 'F -4 2 3'
_cell_length_a 9.3691
_cell_length_b 9.3691
_cell_length_c 9.3691
_cell_angle_alpha 90.00
_cell_angle_beta 90.00
_cell_angle_gamma 90.00
loop_
_atom_site_label
_atom_site_type_symbol
_atom_site_fract_x
_atom_site_fract_y
_atom_site_fract_z
_atom_site_occupancy
Rb1 Rb 0.0000 0.0000 0.0000 1
Pr1 Pr 0.2500 0.2500 0.2500 1
Pb1 Pb 0.1234 0.1234 0.6234 1
# V, Å³/cell: 822.4
# Formation enthalpy at 0 K, eV/atom: -0.173
# Final energy, eV/f.u.: -21.621

---

# PBE Rb3Pr2PbS6, relaxed
data_Rb3Pr2PbS6
_chemical_formula_sum 'Rb6 Pr4 Pb2 S12'
_space_group_name_H-M_alt 'C 1 2/m 1'
_space_group_IT_number 12
_cell_length_a 7.3606
_cell_length_b 12.7483
_cell_length_c 8.1079
_cell_angle_alpha 90.00
_cell_angle_beta 107.58
_cell_angle_gamma 90.00
loop_
_space_group_symop_operation_xyz
'x,y,z'
'-x,-y,-z'
'-x,y,-z'
'x,-y,z'
'x+1/2,y+1/2,z'
'-x+1/2,-y+1/2,-z'
'-x+1/2,y+1/2,-z'
'x+1/2,-y+1/2,z'
loop_
_atom_site_label
_atom_site_type_symbol
_atom_site_fract_x
_atom_site_fract_y
_atom_site_fract_z
_atom_site_occupancy
Rb1 Rb 0.0000 0.0000 0.0000 1
Rb2 Rb 0.0000 0.3353 0.0000 1
Pr1 Pr 0.0000 0.1669 0.5000 1
Pb1 Pb 0.0000 0.5000 0.5000 1
S1 S 0.2305 0.0000 0.6999 1
S2 S 0.2347 0.3320 0.7003 1
# V, Å³/cell: 725.3
# Final energy, eV/f.u.: -57.802

---

# PBE RbPrPbS3, relaxed
data_RbPrPbS3
_chemical_formula_sum 'Rb2 Pr2 Pb2 S6'
_space_group_name_H-M_alt 'P 1 21/m 1'
_space_group_IT_number 11
_cell_length_a 8.3743
_cell_length_b 4.1966
_cell_length_c 12.8350
_cell_angle_alpha 90.00
_cell_angle_beta 107.82
_cell_angle_gamma 90.00
loop_
_space_group_symop_operation_xyz
'x,y,z'
'-x,-y,-z'
'-x,y+1/2,-z'
'x,-y+1/2,z'
loop_
_atom_site_label
_atom_site_type_symbol
_atom_site_fract_x
_atom_site_fract_y
_atom_site_fract_z
_atom_site_occupancy
Rb1 Rb 0.1855 0.2500 0.2084 1
Pr1 Pr 0.3694 0.7500 0.8597 1
Pb1 Pb 0.1937 0.2500 0.5854 1
S1 S 0.1224 0.2500 0.7768 1
S2 S 0.3860 0.7500 0.0832 1
S3 S 0.4078 0.7500 0.6413 1
# V, Å³/cell: 429.4
# Final energy, eV/f.u.: -29.800

---

# PBE RbPr2Pb3Se6, relaxed
data_RbPr2Pb3Se6
_chemical_formula_sum 'Rb2 Pr4 Pb6 Se12'
_space_group_name_H-M_alt 'C 1 2/m 1'
_space_group_IT_number 12
_cell_length_a 19.1402
_cell_length_b 4.4987
_cell_length_c 8.8273
_cell_angle_alpha 90.00
_cell_angle_beta 100.49
_cell_angle_gamma 90.00
loop_
_space_group_symop_operation_xyz
'x,y,z'
'-x,-y,-z'
'-x,y,-z'
'x,-y,z'
'x+1/2,y+1/2,z'
'-x+1/2,-y+1/2,-z'
'-x+1/2,y+1/2,-z'
'x+1/2,-y+1/2,z'
loop_
_atom_site_label
_atom_site_type_symbol
_atom_site_fract_x
_atom_site_fract_y
_atom_site_fract_z
_atom_site_occupancy
Rb1 Rb 0.0000 0.0000 0.0000 1
Pr1 Pr 0.1687 0.5000 0.3340 1
Pb1 Pb 0.0000 0.0000 0.5000 1
Pb2 Pb 0.1619 0.5000 0.8461 1
Se1 Se 0.0150 0.5000 0.2754 1
Se2 Se 0.1687 0.0000 0.5729 1
Se3 Se 0.1811 0.0000 0.1007 1
# V, Å³/cell: 747.4
# Final energy, eV/f.u.: -55.557

---

# PBE RbPrPbSe3, relaxed
data_RbPrPbSe3
_chemical_formula_sum 'Rb2 Pr2 Pb2 Se6'
_space_group_name_H-M_alt 'P 1 21/m 1'
_space_group_IT_number 11
_cell_length_a 8.7641
_cell_length_b 4.3530
_cell_length_c 13.0029
_cell_angle_alpha 90.00
_cell_angle_beta 109.55
_cell_angle_gamma 90.00
loop_
_space_group_symop_operation_xyz
'x,y,z'
'-x,-y,-z'
'-x,y+1/2,-z'
'x,-y+1/2,z'
loop_
_atom_site_label
_atom_site_type_symbol
_atom_site_fract_x
_atom_site_fract_y
_atom_site_fract_z
_atom_site_occupancy
Rb1 Rb 0.1920 0.2500 0.2131 1
Pr1 Pr 0.3674 0.7500 0.8547 1
Pb1 Pb 0.1744 0.2500 0.5765 1
Se1 Se 0.1137 0.2500 0.7761 1
Se2 Se 0.3841 0.7500 0.0859 1
Se3 Se 0.3947 0.7500 0.6275 1
# V, Å³/cell: 467.5
# Final energy, eV/f.u.: -27.551

---

# PBE RbPr2Te4Pb, relaxed
data_RbPr2Te4Pb
_chemical_formula_sum 'Rb4 Pr8 Te16 Pb4'
_space_group_name_H-M_alt 'C m c m'
_space_group_IT_number 63
_space_group_name_Hall '-C 2c 2'
_cell_length_a 4.6599
_cell_length_b 16.0001
_cell_length_c 16.8572
_cell_angle_alpha 90.00
_cell_angle_beta 90.00
_cell_angle_gamma 90.00
loop_
_atom_site_label
_atom_site_type_symbol
_atom_site_fract_x
_atom_site_fract_y
_atom_site_fract_z
_atom_site_occupancy
Rb1 Rb 0.0000 0.1375 0.2500 1
Pr1 Pr 0.0000 0.3762 0.0613 1
Te1 Te 0.0000 0.0000 0.0000 1
Te2 Te 0.0000 0.2666 0.5978 1
Te3 Te 0.0000 0.4681 0.2500 1
Pb1 Pb 0.0000 0.1502 0.7500 1
# V, Å³/cell: 1256.9
# Final energy, eV/f.u.: -34.943

---

# PBE Rb3Pr2Te6Pb, relaxed
data_Rb3Pr2Te6Pb
_chemical_formula_sum 'Rb6 Pr4 Te12 Pb2'
_space_group_name_H-M_alt 'C 1 2/m 1'
_space_group_IT_number 12
_cell_length_a 8.0905
_cell_length_b 14.0127
_cell_length_c 9.0653
_cell_angle_alpha 90.00
_cell_angle_beta 107.29
_cell_angle_gamma 90.00
loop_
_space_group_symop_operation_xyz
'x,y,z'
'-x,-y,-z'
'-x,y,-z'
'x,-y,z'
'x+1/2,y+1/2,z'
'-x+1/2,-y+1/2,-z'
'-x+1/2,y+1/2,-z'
'x+1/2,-y+1/2,z'
loop_
_atom_site_label
_atom_site_type_symbol
_atom_site_fract_x
_atom_site_fract_y
_atom_site_fract_z
_atom_site_occupancy
Rb1 Rb 0.0000 0.0000 0.0000 1
Rb2 Rb 0.0000 0.3356 0.0000 1
Pr1 Pr 0.0000 0.1670 0.5000 1
Te1 Te 0.2287 0.0000 0.7067 1
Te2 Te 0.2393 0.3299 0.7074 1
Pb1 Pb 0.0000 0.5000 0.5000 1
# V, Å³/cell: 981.3
# Final energy, eV/f.u.: -48.253

---

# PBE Pr3RhPb2, relaxed
data_Pr3RhPb2
_chemical_formula_sum 'Pr12 Rh4 Pb8'
_space_group_name_H-M_alt 'P n m a'
_space_group_IT_number 62
_cell_length_a 12.9886
_cell_length_b 4.5349
_cell_length_c 12.2307
_cell_angle_alpha 90.00
_cell_angle_beta 90.00
_cell_angle_gamma 90.00
loop_
_space_group_symop_operation_xyz
'x,y,z'
'-x,-y,-z'
'-x+1/2,-y,z+1/2'
'x+1/2,y,-z+1/2'
'x+1/2,-y+1/2,-z+1/2'
'-x+1/2,y+1/2,z+1/2'
'-x,y+1/2,-z'
'x,-y+1/2,z'
loop_
_atom_site_label
_atom_site_type_symbol
_atom_site_fract_x
_atom_site_fract_y
_atom_site_fract_z
_atom_site_occupancy
Pr1 Pr 0.0518 0.2500 0.1311 1
Pr2 Pr 0.1204 0.7500 0.5434 1
Pr3 Pr 0.2417 0.2500 0.7915 1
Rh1 Rh 0.1289 0.2500 0.3672 1
Pb1 Pb 0.0022 0.2500 0.6920 1
Pb2 Pb 0.1871 0.7500 0.9995 1
# V, Å³/cell: 720.4
# Formation enthalpy at 0 K, eV/atom: -0.616
# Final energy, eV/f.u.: -32.805

---

# PBE Pr3RhPb, relaxed
data_Pr3RhPb
_chemical_formula_sum 'Pr12 Rh4 Pb4'
_space_group_name_H-M_alt 'P n m a'
_space_group_IT_number 62
_cell_length_a 8.5086
_cell_length_b 4.6703
_cell_length_c 15.3160
_cell_angle_alpha 90.00
_cell_angle_beta 90.00
_cell_angle_gamma 90.00
loop_
_space_group_symop_operation_xyz
'x,y,z'
'-x,-y,-z'
'-x+1/2,-y,z+1/2'
'x+1/2,y,-z+1/2'
'x+1/2,-y+1/2,-z+1/2'
'-x+1/2,y+1/2,z+1/2'
'-x,y+1/2,-z'
'x,-y+1/2,z'
loop_
_atom_site_label
_atom_site_type_symbol
_atom_site_fract_x
_atom_site_fract_y
_atom_site_fract_z
_atom_site_occupancy
Pr1 Pr 0.0202 0.2500 0.1093 1
Pr2 Pr 0.1510 0.2500 0.5088 1
Pr3 Pr 0.1844 0.7500 0.2863 1
Rh1 Rh 0.1688 0.2500 0.9434 1
Pb1 Pb 0.0943 0.7500 0.6745 1
# V, Å³/cell: 608.6
# Formation enthalpy at 0 K, eV/atom: -0.560
# Final energy, eV/f.u.: -28.198
# Distance to the lowest polymorph of the same formula, eV/atom: 0.000

---

# PBE PrRh2Pb, relaxed
data_PrRh2Pb
_chemical_formula_sum 'Pr2 Rh4 Pb2'
_space_group_name_H-M_alt 'P m m n'
_space_group_IT_number 59
_cell_length_a 4.7280
_cell_length_b 6.6846
_cell_length_c 5.4166
_cell_angle_alpha 90.00
_cell_angle_beta 90.00
_cell_angle_gamma 90.00
loop_
_space_group_symop_operation_xyz
'x,y,z'
'-x,-y,-z'
'-x+1/2,-y+1/2,z'
'x+1/2,y+1/2,-z'
'x+1/2,-y,-z'
'-x+1/2,y,z'
'-x,y+1/2,-z'
'x,-y+1/2,z'
loop_
_atom_site_label
_atom_site_type_symbol
_atom_site_fract_x
_atom_site_fract_y
_atom_site_fract_z
_atom_site_occupancy
Pr1 Pr 0.2500 0.2500 0.1927 1
Rh1 Rh 0.2500 0.0303 0.6699 1
Pb1 Pb 0.2500 0.7500 0.2748 1
# V, Å³/cell: 171.2
# Formation enthalpy at 0 K, eV/atom: -0.431
# Final energy, eV/f.u.: -24.915

---

# PBE PrRh2Pb, relaxed
data_PrRh2Pb
_chemical_formula_sum 'Pr1 Rh2 Pb1'
_space_group_name_H-M_alt 'P 4/m m m'
_space_group_IT_number 123
_space_group_name_Hall '-P 4 2'
_cell_length_a 3.5834
_cell_length_b 3.5834
_cell_length_c 6.5017
_cell_angle_alpha 90.00
_cell_angle_beta 90.00
_cell_angle_gamma 90.00
loop_
_atom_site_label
_atom_site_type_symbol
_atom_site_fract_x
_atom_site_fract_y
_atom_site_fract_z
_atom_site_occupancy
Pr1 Pr 0.0000 0.0000 0.0000 1
Rh1 Rh 0.5000 0.5000 0.2691 1
Pb1 Pb 0.0000 0.0000 0.5000 1
# V, Å³/cell: 83.5
# Formation enthalpy at 0 K, eV/atom: -0.304
# Final energy, eV/f.u.: -24.408

---

# PBE Pr2RhPb, relaxed
data_Pr2RhPb
_chemical_formula_sum 'Pr2 Rh1 Pb1'
_space_group_name_H-M_alt 'P 4/m m m'
_space_group_IT_number 123
_space_group_name_Hall '-P 4 2'
_cell_length_a 3.6085
_cell_length_b 3.6085
_cell_length_c 8.3071
_cell_angle_alpha 90.00
_cell_angle_beta 90.00
_cell_angle_gamma 90.00
loop_
_atom_site_label
_atom_site_type_symbol
_atom_site_fract_x
_atom_site_fract_y
_atom_site_fract_z
_atom_site_occupancy
Pr1 Pr 0.0000 0.0000 0.2080 1
Rh1 Rh 0.5000 0.5000 0.0000 1
Pb1 Pb 0.5000 0.5000 0.5000 1
# V, Å³/cell: 108.2
# Formation enthalpy at 0 K, eV/atom: -0.571
# Final energy, eV/f.u.: -22.904
# Distance to the lowest polymorph of the same formula, eV/atom: 0.000

---

# PBE PrRh2Pb, relaxed
data_PrRh2Pb
_chemical_formula_sum 'Pr1 Rh2 Pb1'
_space_group_name_H-M_alt 'P 4/m m m'
_space_group_IT_number 123
_space_group_name_Hall '-P 4 2'
_cell_length_a 4.6494
_cell_length_b 4.6494
_cell_length_c 3.8076
_cell_angle_alpha 90.00
_cell_angle_beta 90.00
_cell_angle_gamma 90.00
loop_
_atom_site_label
_atom_site_type_symbol
_atom_site_fract_x
_atom_site_fract_y
_atom_site_fract_z
_atom_site_occupancy
Pr1 Pr 0.0000 0.0000 0.0000 1
Rh1 Rh 0.0000 0.5000 0.5000 1
Pb1 Pb 0.5000 0.5000 0.0000 1
# V, Å³/cell: 82.3
# Formation enthalpy at 0 K, eV/atom: -0.416
# Final energy, eV/f.u.: -24.855

---

# PBE Pr12Rh5Pb, relaxed
data_Pr12Rh5Pb
_chemical_formula_sum 'Pr24 Rh10 Pb2'
_space_group_name_H-M_alt 'I m m m'
_space_group_IT_number 71
_space_group_name_Hall '-I 2 2'
_cell_length_a 9.7945
_cell_length_b 10.0609
_cell_length_c 10.6432
_cell_angle_alpha 90.00
_cell_angle_beta 90.00
_cell_angle_gamma 90.00
loop_
_atom_site_label
_atom_site_type_symbol
_atom_site_fract_x
_atom_site_fract_y
_atom_site_fract_z
_atom_site_occupancy
Pr1 Pr 0.0000 0.1872 0.2127 1
Pr2 Pr 0.1919 0.5000 0.1736 1
Pr3 Pr 0.2049 0.3212 0.5000 1
Rh1 Rh 0.0000 0.0000 0.0000 1
Rh2 Rh 0.0000 0.3498 0.0000 1
Rh3 Rh 0.0000 0.5000 0.3684 1
Pb1 Pb 0.0000 0.0000 0.5000 1
# V, Å³/cell: 1048.8
# Formation enthalpy at 0 K, eV/atom: -0.493
# Final energy, eV/f.u.: -106.699

---

# PBE Pr3Rh2Pb3, relaxed
data_Pr3Rh2Pb3
_chemical_formula_sum 'Pr12 Rh8 Pb12'
_space_group_name_H-M_alt 'C m c m'
_space_group_IT_number 63
_space_group_name_Hall '-C 2c 2'
_cell_length_a 4.7359
_cell_length_b 11.3226
_cell_length_c 15.7038
_cell_angle_alpha 90.00
_cell_angle_beta 90.00
_cell_angle_gamma 90.00
loop_
_atom_site_label
_atom_site_type_symbol
_atom_site_fract_x
_atom_site_fract_y
_atom_site_fract_z
_atom_site_occupancy
Pr1 Pr 0.0000 0.0719 0.1114 1
Pr2 Pr 0.0000 0.3467 0.2500 1
Rh1 Rh 0.0000 0.1979 0.6125 1
Pb1 Pb 0.0000 0.3592 0.7500 1
Pb2 Pb 0.0000 0.3628 0.0328 1
# V, Å³/cell: 842.1
# Formation enthalpy at 0 K, eV/atom: -0.566
# Final energy, eV/f.u.: -44.696

---

# PBE Pr2RhPb3, relaxed
data_Pr2RhPb3
_chemical_formula_sum 'Pr2 Rh1 Pb3'
_space_group_name_H-M_alt 'P m m 2'
_space_group_IT_number 25
_cell_length_a 3.8622
_cell_length_b 5.0765
_cell_length_c 8.7192
_cell_angle_alpha 90.00
_cell_angle_beta 90.00
_cell_angle_gamma 90.00
loop_
_space_group_symop_operation_xyz
'x,y,z'
'-x,-y,z'
'-x,y,z'
'x,-y,z'
loop_
_atom_site_label
_atom_site_type_symbol
_atom_site_fract_x
_atom_site_fract_y
_atom_site_fract_z
_atom_site_occupancy
Pr1 Pr 0.0000 0.0000 0.0000 1
Pr2 Pr 0.0000 0.5000 0.4392 1
Rh1 Rh 0.5000 0.0000 0.2614 1
Pb1 Pb 0.5000 0.0000 0.5803 1
Pb2 Pb 0.5000 0.5000 0.1408 1
Pb3 Pb 0.5000 0.5000 0.7847 1
# V, Å³/cell: 171.0
# Formation enthalpy at 0 K, eV/atom: -0.376
# Final energy, eV/f.u.: -30.291

---

# PBE Pr3RhPb, relaxed
data_Pr3RhPb
_chemical_formula_sum 'Pr3 Rh1 Pb1'
_space_group_name_H-M_alt 'P m -3 m'
_space_group_IT_number 221
_space_group_name_Hall '-P 4 2 3'
_cell_length_a 5.5099
_cell_length_b 5.5099
_cell_length_c 5.5099
_cell_angle_alpha 90.00
_cell_angle_beta 90.00
_cell_angle_gamma 90.00
loop_
_atom_site_label
_atom_site_type_symbol
_atom_site_fract_x
_atom_site_fract_y
_atom_site_fract_z
_atom_site_occupancy
Pr1 Pr 0.0000 0.0000 0.5000 1
Rh1 Rh 0.0000 0.0000 0.0000 1
Pb1 Pb 0.5000 0.5000 0.5000 1
# V, Å³/cell: 167.3
# Formation enthalpy at 0 K, eV/atom: -0.373
# Final energy, eV/f.u.: -27.262
# Distance to the lowest polymorph of the same formula, eV/atom: 0.187

---

# PBE PrRh2Pb, relaxed
data_PrRh2Pb
_chemical_formula_sum 'Pr3 Rh6 Pb3'
_space_group_name_H-M_alt 'R -3 m'
_space_group_IT_number 166
_space_group_name_Hall '-R 3 2"'
_cell_length_a 4.6911
_cell_length_b 4.6911
_cell_length_c 13.4313
_cell_angle_alpha 90.00
_cell_angle_beta 90.00
_cell_angle_gamma 120.00
loop_
_atom_site_label
_atom_site_type_symbol
_atom_site_fract_x
_atom_site_fract_y
_atom_site_fract_z
_atom_site_occupancy
Pr1 Pr 0.0000 0.0000 0.0000 1
Rh1 Rh 0.0000 0.0000 0.2213 1
Pb1 Pb 0.0000 0.0000 0.5000 1
# V, Å³/cell: 256.0
# Formation enthalpy at 0 K, eV/atom: -0.436
# Final energy, eV/f.u.: -24.936

---

# PBE Pr2Rh2Pb, relaxed
data_Pr2Rh2Pb
_chemical_formula_sum 'Pr4 Rh4 Pb2'
_space_group_name_H-M_alt 'I m m m'
_space_group_IT_number 71
_space_group_name_Hall '-I 2 2'
_cell_length_a 4.6006
_cell_length_b 6.0391
_cell_length_c 8.6085
_cell_angle_alpha 90.00
_cell_angle_beta 90.00
_cell_angle_gamma 90.00
loop_
_atom_site_label
_atom_site_type_symbol
_atom_site_fract_x
_atom_site_fract_y
_atom_site_fract_z
_atom_site_occupancy
Pr1 Pr 0.0000 0.0000 0.2070 1
Rh1 Rh 0.0000 0.2805 0.5000 1
Pb1 Pb 0.0000 0.5000 0.0000 1
# V, Å³/cell: 239.2
# Formation enthalpy at 0 K, eV/atom: -0.611
# Final energy, eV/f.u.: -31.027